# 1
Density functional theory data (GGA-PBE) for an optimized crystal structure of Tb2NdSm2Mg.

Lattice parameters (Å, degrees): 6.185 18.773 3.400 90.00 90.00 90.00
Space group Pnnm (No. 58)
Asymmetric unit:
1 Tb 0.171 0.137 0.000 [4 per cell]
2 Nd 0.000 0.500 0.500 [2 per cell]
3 Sm 0.171 0.299 0.500 [4 per cell]
4 Mg 0.000 0.000 0.500 [2 per cell]

Properties
Energy relative to the elements (eV/f.u.): 1.33

---

# 2
Density functional theory data (GGA-PBE) for an optimized crystal structure of Bi2PtPb2Au2.

Lattice parameters (Å, degrees): 4.330 7.002 7.442 63.06 73.14 72.09
Space group P-1 (No. 2)
Asymmetric unit:
1 Bi 0.239 0.323 0.202 [2 per cell]
2 Pt 0.000 0.500 0.500 [1 per cell]
3 Pb 0.495 0.758 0.253 [2 per cell]
4 Au 0.180 0.992 0.647 [2 per cell]

Properties
Energy relative to the elements (eV/f.u.): -0.62

---

# 3
Density functional theory data (GGA-PBE) for an optimized crystal structure of ScAlSbI2.

Lattice parameters (Å, degrees): 5.668 5.668 5.745 90.00 90.00 90.00
Space group P4/mmm (No. 123)
Asymmetric unit:
1 Sc 0.000 0.000 0.000 [1 per cell]
2 Al 0.500 0.500 0.500 [1 per cell]
3 Sb 0.000 0.000 0.500 [1 per cell]
4 I 0.000 0.500 0.000 [2 per cell]

Properties
Energy relative to the lowest polymorph listed for this composition (meV per atom): 0

---

# 4
Density functional theory data (GGA-PBE) for an optimized crystal structure of Mn3V2Cr.

Lattice parameters (Å, degrees): 2.853 2.853 8.576 90.00 90.00 90.00
Space group P4/mmm (No. 123)
Asymmetric unit:
1 Mn 0.000 0.000 0.000 [1 per cell]
2 Mn 0.000 0.000 0.336 [2 per cell]
3 V 0.500 0.500 0.168 [2 per cell]
4 Cr 0.500 0.500 0.500 [1 per cell]

Properties
Energy relative to the elements (eV/f.u.): -0.96